Record 1
Computed, not measured: Na5Cd2Hg12 after structural relaxation at the PBE-GGA level of DFT.

The raw total energy is -14.9 eV per formula unit. Its space group is No. 12. The value obtained for the formation energy is -148 meV/atom.

Cell lengths 8.807, 8.807, 8.014 Å; angles 95.20, 95.20, 54.71 degrees
Sites, in units of the cell vectors:
Na1 0.000 0.000 0.000
Na2 0.245 0.245 0.063
Na3 0.331 0.331 0.550
Na4 0.669 0.669 0.450
Na5 0.755 0.755 0.937
Cd1 0.213 0.787 0.500
Cd2 0.787 0.213 0.500
Hg1 0.018 0.628 0.273
Hg2 0.137 0.137 0.363
Hg3 0.194 0.585 0.897
Hg4 0.372 0.982 0.727
Hg5 0.415 0.806 0.103
Hg6 0.457 0.457 0.253
Hg7 0.543 0.543 0.747
Hg8 0.585 0.194 0.897
Hg9 0.628 0.018 0.273
Hg10 0.806 0.415 0.103
Hg11 0.863 0.863 0.637
Hg12 0.982 0.372 0.727

Record 2
Computed, not measured: Pb2SeCl after structural relaxation at the PBE-GGA level of DFT.

The raw total energy is -14.8 eV per formula unit. For the formation energy from raw total energies, the calculation gives -49 kJ per mole of atoms. Its space group is No. 8.

Cell lengths 6.438, 6.438, 4.946 Å; angles 98.48, 98.48, 35.99 degrees
Sites, in units of the cell vectors:
Pb1 0.000 0.000 0.000
Pb2 0.733 0.733 0.524
Se1 0.229 0.229 0.959
Cl1 0.488 0.488 0.513

| no. | energy above the lowest structure with this stoichiometry (eV/atom) |
| --- | --- |
| 1 | 0.0000 |
| 2 | 0.0776 |